[1]
DFT (PBE) results for a relaxed Pr2NdMg3ZnIn2 crystal.

The total moment comes out at 0.03 μB/cell. As for the space group: Amm2 (38). For the total energy, the calculation gives -29.1 eV/cell.

a = 4.734 Å, b = 7.651 Å, c = 7.651 Å
α = 119.88°, β = 90.00°, γ = 90.00°
Atoms (fractional coordinates):
Pr  0.000  0.204  0.796
Pr  0.000  0.796  0.204
Nd  0.000  0.388  0.388
Mg  0.500  0.030  0.030
Mg  0.500  0.560  0.795
Mg  0.500  0.795  0.560
Zn  0.000  0.794  0.794
In  0.500  0.130  0.462
In  0.500  0.462  0.130

---

[2]
DFT (PBE) results for a relaxed Nd3Mg3InPt2 crystal.

The total moment comes out at 0.00 μB/cell. As for the space group: P-62m (189). For the total energy, the calculation gives -39.9 eV/cell.

a = 7.597 Å, b = 7.597 Å, c = 4.339 Å
α = 90.00°, β = 90.00°, γ = 120.00°
Atoms (fractional coordinates):
Nd  0.000  0.574  0.000
Nd  0.426  0.426  0.000
Nd  0.574  0.000  0.000
Mg  0.000  0.255  0.500
Mg  0.255  0.000  0.500
Mg  0.745  0.745  0.500
In  0.000  0.000  0.000
Pt  0.333  0.667  0.500
Pt  0.667  0.333  0.500

---

[3]
DFT (PBE) results for a relaxed NdMgInSe3 crystal.

The total moment comes out at 0.00 μB/cell. As for the space group: Cmcm (63). For the total energy, the calculation gives -53.5 eV/cell.

a = 7.558 Å, b = 7.558 Å, c = 11.527 Å
α = 90.00°, β = 90.00°, γ = 146.95°
Atoms (fractional coordinates):
Nd  0.000  0.000  0.000
Nd  0.000  0.000  0.500
Mg  0.464  0.536  0.750
Mg  0.536  0.464  0.250
In  0.247  0.753  0.250
In  0.753  0.247  0.750
Se  0.068  0.932  0.750
Se  0.368  0.632  0.565
Se  0.368  0.632  0.935
Se  0.632  0.368  0.065
Se  0.632  0.368  0.435
Se  0.932  0.068  0.250

---

[4]
DFT (PBE) results for a relaxed NdSmMgIn crystal.

The total moment comes out at 0.01 μB/cell. As for the space group: F-43m (216). For the total energy, the calculation gives -60.4 eV/cell.

a = 7.706 Å, b = 7.706 Å, c = 7.706 Å
α = 90.00°, β = 90.00°, γ = 90.00°
Atoms (fractional coordinates):
Nd  0.000  0.000  0.000
Nd  0.000  0.500  0.500
Nd  0.500  0.000  0.500
Nd  0.500  0.500  0.000
Sm  0.000  0.000  0.500
Sm  0.000  0.500  0.000
Sm  0.500  0.000  0.000
Sm  0.500  0.500  0.500
Mg  0.250  0.250  0.250
Mg  0.250  0.750  0.750
Mg  0.750  0.250  0.750
Mg  0.750  0.750  0.250
In  0.250  0.250  0.750
In  0.250  0.750  0.250
In  0.750  0.250  0.250
In  0.750  0.750  0.750

---

What is the total moment in the second record?
0.00 μB/cell